This record from Alexandria via LeMat-Bulk describes RbLi2BeTc after structural relaxation. The functional is PBE.

Output
DFT total energy: -1.865 eV/atom
Formation enthalpy at 0 K: 1.912 eV/atom
Volume: 19.03 A^3/atom

abc: 4.3605 4.3605 5.0037
angles: 90.00 90.00 90.00
With the nearest neighbours (Å) after each atom.
Space group P4/mmm (No. 123)
Inequivalent atoms, fractional coordinates:
Rb 0.0000 0.0000 0.0000  4 Li 2.18
Li 0.0000 0.5000 0.0000  2 Rb 2.18
Be 0.5000 0.5000 0.5000  4 Tc 3.08, 8 Li 3.32
Tc 0.0000 0.0000 0.5000  2 Rb 2.50

---

This record from Alexandria via LeMat-Bulk describes RbLiBeTe2 after structural relaxation. The functional is PBE.

Output
DFT total energy: -3.237 eV/atom
Formation energy from raw total energies: -3.29 eV/f.u.
Volume: 32.36 A^3/atom

abc: 8.3004 6.3396 6.7229
angles: 90.00 113.84 90.00
With the nearest neighbours (Å) after each atom.
Space group P2/c (No. 13)
Inequivalent atoms, fractional coordinates:
Rb 0.0000 0.2426 0.2500  8 Te 3.79-4.01, 2 Be 4.10
Li 0.5000 0.5003 0.2500  4 Te 2.84
Be 0.5000 0.0000 0.0000  2 Te 2.25
Te 0.2864 0.2462 0.8935  1 Be 2.25